1.
# La2PrDyTm2 (PBE, relaxed)
data_La2PrDyTm2
_space_group_name_H-M_alt 'P m c 21'
_space_group_IT_number 26
_cell_length_a 5.6467
_cell_length_b 10.3480
_cell_length_c 6.9386
_cell_angle_alpha 90.00
_cell_angle_beta 90.00
_cell_angle_gamma 90.00
loop_
_space_group_symop_operation_xyz
'x,y,z'
'-x,-y,z+1/2'
'-x,y,z'
'x,-y,z+1/2'
loop_
_atom_site_label
_atom_site_fract_x
_atom_site_fract_y
_atom_site_fract_z
La1 0.0000 0.0247 0.0000
La2 0.5000 0.2016 0.2654
Pr1 0.0000 0.3095 0.6391
Dy1 0.5000 0.4729 0.8970
Tm1 0.0000 0.3737 0.1455
Tm2 0.5000 0.1327 0.7572
# - Total magnetization: 0.00 μB/cell
# - Electronic total energy: -55.528 eV per cell
# - Energy of formation from the pure elements: 6.7 kJ per mole of atoms

=====

2.
# LaPr5DyTm2 (PBE, relaxed)
data_LaPr5DyTm2
_space_group_name_H-M_alt 'C m c 21'
_space_group_IT_number 36
_cell_length_a 5.7462
_cell_length_b 20.4901
_cell_length_c 10.7130
_cell_angle_alpha 90.00
_cell_angle_beta 90.00
_cell_angle_gamma 90.00
loop_
_space_group_symop_operation_xyz
'x,y,z'
'-x,-y,z+1/2'
'-x,y,z'
'x,-y,z+1/2'
'x+1/2,y+1/2,z'
'-x+1/2,-y+1/2,z+1/2'
'-x+1/2,y+1/2,z'
'x+1/2,-y+1/2,z+1/2'
loop_
_atom_site_label
_atom_site_fract_x
_atom_site_fract_y
_atom_site_fract_z
La1 0.0000 0.0850 0.0000
Pr1 0.0000 0.0209 0.2909
Pr2 0.0000 0.1156 0.5740
Pr3 0.0000 0.2045 0.2553
Pr4 0.0000 0.2200 0.8643
Pr5 0.0000 0.4836 0.5720
Dy1 0.0000 0.3025 0.5613
Tm1 0.0000 0.3841 0.8676
Tm2 0.0000 0.3868 0.2853
# - Total magnetization: 0.00 μB/cell
# - Electronic total energy: -164.099 eV per cell
# - Energy of formation from the pure elements: 14.4 kJ per mole of atoms

=====

3.
# LaPrDy2Tm (PBE, relaxed)
data_LaPrDy2Tm
_space_group_name_H-M_alt 'C m c m'
_space_group_IT_number 63
_space_group_name_Hall '-C 2c 2'
_cell_length_a 8.4839
_cell_length_b 11.5959
_cell_length_c 7.2175
_cell_angle_alpha 90.00
_cell_angle_beta 90.00
_cell_angle_gamma 90.00
loop_
_atom_site_label
_atom_site_fract_x
_atom_site_fract_y
_atom_site_fract_z
La1 0.0000 0.2353 0.2500
Pr1 0.0000 0.4997 0.2500
Dy1 0.1861 0.0000 0.0000
Tm1 0.0000 0.2170 0.7500
# - Total magnetization: 0.00 μB/cell
# - Electronic total energy: -86.263 eV per cell
# - Energy of formation from the pure elements: 35.1 kJ per mole of atoms

=====

4.
# La2PrDy2Tm2 (PBE, relaxed)
data_La2PrDy2Tm2
_space_group_name_H-M_alt 'C 1 2/m 1'
_space_group_IT_number 12
_cell_length_a 11.4064
_cell_length_b 5.0995
_cell_length_c 8.1114
_cell_angle_alpha 90.00
_cell_angle_beta 98.20
_cell_angle_gamma 90.00
loop_
_space_group_symop_operation_xyz
'x,y,z'
'-x,-y,-z'
'-x,y,-z'
'x,-y,z'
'x+1/2,y+1/2,z'
'-x+1/2,-y+1/2,-z'
'-x+1/2,y+1/2,-z'
'x+1/2,-y+1/2,z'
loop_
_atom_site_label
_atom_site_fract_x
_atom_site_fract_y
_atom_site_fract_z
La1 0.1428 0.0000 0.4285
Pr1 0.0000 0.0000 0.0000
Dy1 0.0710 0.5000 0.7190
Tm1 0.2161 0.5000 0.1384
# - Total magnetization: 0.00 μB/cell
# - Electronic total energy: -65.106 eV per cell
# - Energy of formation from the pure elements: 3.2 kJ per mole of atoms

=====

Copy entry 2 word for word.
# LaPr5DyTm2 (PBE, relaxed)
data_LaPr5DyTm2
_space_group_name_H-M_alt 'C m c 21'
_space_group_IT_number 36
_cell_length_a 5.7462
_cell_length_b 20.4901
_cell_length_c 10.7130
_cell_angle_alpha 90.00
_cell_angle_beta 90.00
_cell_angle_gamma 90.00
loop_
_space_group_symop_operation_xyz
'x,y,z'
'-x,-y,z+1/2'
'-x,y,z'
'x,-y,z+1/2'
'x+1/2,y+1/2,z'
'-x+1/2,-y+1/2,z+1/2'
'-x+1/2,y+1/2,z'
'x+1/2,-y+1/2,z+1/2'
loop_
_atom_site_label
_atom_site_fract_x
_atom_site_fract_y
_atom_site_fract_z
La1 0.0000 0.0850 0.0000
Pr1 0.0000 0.0209 0.2909
Pr2 0.0000 0.1156 0.5740
Pr3 0.0000 0.2045 0.2553
Pr4 0.0000 0.2200 0.8643
Pr5 0.0000 0.4836 0.5720
Dy1 0.0000 0.3025 0.5613
Tm1 0.0000 0.3841 0.8676
Tm2 0.0000 0.3868 0.2853
# - Total magnetization: 0.00 μB/cell
# - Electronic total energy: -164.099 eV per cell
# - Energy of formation from the pure elements: 14.4 kJ per mole of atoms

=====

> Among the records above, which one has the lowest electronic total energy?

LaPr5DyTm2